1) ## ScReSe (PBE)

Data for ScReSe after structural relaxation. Values from VASP.

Properties
**Total magnetic moment**: 1.44 μB per formula unit
**ρ**: 9.10 g/cm³
**Space group**: F-43m, No. 216

Structure (Quantum ESPRESSO input):
```
&SYSTEM
  ibrav = 0, nat = 12, ntyp = 3
/
ATOMIC_SPECIES
Sc 44.96 Sc.upf
Re 186.21 Re.upf
Se 78.96 Se.upf
CELL_PARAMETERS angstrom
6.094 0.000 0.000
0.000 6.094 0.000
0.000 0.000 6.094
ATOMIC_POSITIONS angstrom
Sc 0.000 0.000 0.000
Sc 0.000 3.047 3.047
Sc 3.047 0.000 3.047
Sc 3.047 3.047 0.000
Re 0.000 0.000 3.047
Re 0.000 3.047 0.000
Re 3.047 0.000 0.000
Re 3.047 3.047 3.047
Se 1.523 1.523 4.570
Se 1.523 4.570 1.523
Se 4.570 1.523 1.523
Se 4.570 4.570 4.570
```

***

2) ## ScReSe (PBE)

Data for ScReSe after structural relaxation. Values from VASP.

Properties
**Total magnetic moment**: 0.00 μB per formula unit
**ρ**: 8.47 g/cm³
**Space group**: F-43m, No. 216

Structure (Quantum ESPRESSO input):
```
&SYSTEM
  ibrav = 0, nat = 12, ntyp = 3
/
ATOMIC_SPECIES
Sc 44.96 Sc.upf
Re 186.21 Re.upf
Se 78.96 Se.upf
CELL_PARAMETERS angstrom
6.241 0.000 0.000
0.000 6.241 0.000
0.000 0.000 6.241
ATOMIC_POSITIONS angstrom
Sc 0.000 0.000 0.000
Sc 0.000 3.120 3.120
Sc 3.120 0.000 3.120
Sc 3.120 3.120 0.000
Re 1.560 1.560 4.681
Re 1.560 4.681 1.560
Re 4.681 1.560 1.560
Re 4.681 4.681 4.681
Se 1.560 1.560 1.560
Se 1.560 4.681 4.681
Se 4.681 1.560 4.681
Se 4.681 4.681 1.560
```

***

Stability check: which of them is most stable? 1).

***

1) ## ScReSe3 (PBE)

Data for ScReSe3 after structural relaxation. Values from VASP.

Properties
**Total magnetic moment**: 2.23 μB per formula unit
**ρ**: 6.52 g/cm³
**Space group**: Pm-3m, No. 221

Structure (Quantum ESPRESSO input):
```
&SYSTEM
  ibrav = 0, nat = 5, ntyp = 3
/
ATOMIC_SPECIES
Sc 44.96 Sc.upf
Re 186.21 Re.upf
Se 78.96 Se.upf
CELL_PARAMETERS angstrom
4.921 0.000 0.000
0.000 4.921 0.000
0.000 0.000 4.921
ATOMIC_POSITIONS angstrom
Sc 0.000 0.000 0.000
Re 2.461 2.461 2.461
Se 0.000 2.461 2.461
Se 2.461 0.000 2.461
Se 2.461 2.461 0.000
```

***

2) ## ScReSe3 (PBE)

Data for ScReSe3 after structural relaxation. Values from VASP.

Properties
**Total magnetic moment**: 4.15 μB per formula unit
**ρ**: 5.86 g/cm³
**Space group**: Pm-3m, No. 221

Structure (Quantum ESPRESSO input):
```
&SYSTEM
  ibrav = 0, nat = 5, ntyp = 3
/
ATOMIC_SPECIES
Sc 44.96 Sc.upf
Re 186.21 Re.upf
Se 78.96 Se.upf
CELL_PARAMETERS angstrom
5.099 0.000 0.000
0.000 5.099 0.000
0.000 0.000 5.099
ATOMIC_POSITIONS angstrom
Sc 0.000 0.000 0.000
Re 2.550 2.550 2.550
Se 0.000 0.000 2.550
Se 0.000 2.550 0.000
Se 2.550 0.000 0.000
```

***

Stability check: which of them is most stable? 1).

***

1) ## Sc2Re3Si4 (PBE)

Data for Sc2Re3Si4 after structural relaxation. Values from VASP.

Properties
**Total magnetic moment**: 0.00 μB per formula unit
**ρ**: 9.24 g/cm³
**Space group**: P2_1/c, No. 14

Structure (Quantum ESPRESSO input):
```
&SYSTEM
  ibrav = 0, nat = 18, ntyp = 3
/
ATOMIC_SPECIES
Sc 44.96 Sc.upf
Re 186.21 Re.upf
Si 28.09 Si.upf
CELL_PARAMETERS angstrom
6.681 0.000 0.000
0.000 6.637 0.000
-2.210 0.000 6.166
ATOMIC_POSITIONS angstrom
Sc 1.152 1.119 0.356
Sc 0.047 2.199 3.439
Sc 4.424 4.437 2.727
Sc 3.319 5.518 5.810
Re 0.986 4.312 1.589
Re -0.119 5.643 4.672
Re 2.235 0.000 3.083
Re 3.340 3.318 0.000
Re 4.590 0.993 1.494
Re 3.485 2.325 4.577
Si -1.275 3.620 5.366
Si -0.170 6.335 2.283
Si 1.899 4.236 3.913
Si 3.004 5.719 0.829
Si 1.466 0.917 5.337
Si 2.571 2.401 2.254
Si 4.641 0.301 3.884
Si 5.746 3.017 0.800
```

***

2) ## Sc2Re3Si4 (PBE)

Data for Sc2Re3Si4 after structural relaxation. Values from VASP.

Properties
**Total magnetic moment**: 0.00 μB per formula unit
**ρ**: 9.25 g/cm³
**Space group**: P4_12_12, No. 92

Structure (Quantum ESPRESSO input):
```
&SYSTEM
  ibrav = 0, nat = 36, ntyp = 3
/
ATOMIC_SPECIES
Sc 44.96 Sc.upf
Re 186.21 Re.upf
Si 28.09 Si.upf
CELL_PARAMETERS angstrom
6.629 0.000 0.000
0.000 6.629 0.000
0.000 0.000 12.433
ATOMIC_POSITIONS angstrom
Sc 0.045 2.265 2.726
Sc 1.050 3.359 5.834
Sc 2.265 0.045 9.707
Sc 3.270 5.579 0.382
Sc 3.359 1.050 6.599
Sc 4.364 6.584 3.491
Sc 5.579 3.270 12.051
Sc 6.584 4.364 8.942
Re 0.127 1.224 7.679
Re 1.116 1.116 0.000
Re 1.224 0.127 4.755
Re 2.091 3.441 10.787
Re 2.198 4.430 3.108
Re 3.188 4.538 7.863
Re 3.441 2.091 1.646
Re 4.430 2.198 9.325
Re 4.538 3.188 4.570
Re 5.405 6.502 10.971
Re 5.513 5.513 6.217
Re 6.502 5.405 1.462
Si 0.179 1.849 10.104
Si 0.805 5.335 11.569
Si 1.294 5.824 7.081
Si 1.466 3.493 0.779
Si 1.849 0.179 2.329
Si 2.021 2.510 8.461
Si 2.510 2.021 3.973
Si 3.136 5.163 5.437
Si 3.493 1.466 11.654
Si 4.119 4.608 10.189
Si 4.608 4.119 2.244
Si 4.780 6.450 8.545
Si 5.163 3.136 6.996
Si 5.335 0.805 0.864
Si 5.824 1.294 5.352
Si 6.450 4.780 3.888
```

***

Stability check: which of them is most stable? 2).

***

1) ## ScRe3Sn (PBE)

Data for ScRe3Sn after structural relaxation. Values from VASP.

Properties
**Total magnetic moment**: 2.19 μB per formula unit
**ρ**: 10.59 g/cm³
**Space group**: Pm-3m, No. 221

Structure (Quantum ESPRESSO input):
```
&SYSTEM
  ibrav = 0, nat = 5, ntyp = 3
/
ATOMIC_SPECIES
Sc 44.96 Sc.upf
Re 186.21 Re.upf
Sn 118.71 Sn.upf
CELL_PARAMETERS angstrom
4.839 0.000 0.000
0.000 4.839 0.000
0.000 0.000 4.839
ATOMIC_POSITIONS angstrom
Sc 0.000 0.000 0.000
Re 0.000 2.419 2.419
Re 2.419 0.000 2.419
Re 2.419 2.419 0.000
Sn 2.419 2.419 2.419
```

***

2) ## ScRe3Sn (PBE)

Data for ScRe3Sn after structural relaxation. Values from VASP.

Properties
**Total magnetic moment**: 2.84 μB per formula unit
**ρ**: 11.75 g/cm³
**Space group**: Pm-3m, No. 221

Structure (Quantum ESPRESSO input):
```
&SYSTEM
  ibrav = 0, nat = 5, ntyp = 3
/
ATOMIC_SPECIES
Sc 44.96 Sc.upf
Re 186.21 Re.upf
Sn 118.71 Sn.upf
CELL_PARAMETERS angstrom
4.674 0.000 0.000
0.000 4.674 0.000
0.000 0.000 4.674
ATOMIC_POSITIONS angstrom
Sc 0.000 0.000 0.000
Re 0.000 0.000 2.337
Re 0.000 2.337 0.000
Re 2.337 0.000 0.000
Sn 2.337 2.337 2.337
```

***

Stability check: which of them is most stable? 1).

***

1) ## Sr2ScRe (PBE)

Data for Sr2ScRe after structural relaxation. Values from VASP.

Properties
**Total magnetic moment**: 0.00 μB per formula unit
**ρ**: 6.06 g/cm³
**Space group**: P4/mmm, No. 123

Structure (Quantum ESPRESSO input):
```
&SYSTEM
  ibrav = 0, nat = 4, ntyp = 3
/
ATOMIC_SPECIES
Sr 87.62 Sr.upf
Sc 44.96 Sc.upf
Re 186.21 Re.upf
CELL_PARAMETERS angstrom
4.149 0.000 0.000
0.000 4.149 0.000
0.000 0.000 6.470
ATOMIC_POSITIONS angstrom
Sr 0.000 0.000 1.473
Sr 0.000 0.000 4.997
Sc 2.074 2.074 3.235
Re 2.074 2.074 0.000
```

***

2) ## Sr2ScRe (PBE)

Data for Sr2ScRe after structural relaxation. Values from VASP.

Properties
**Total magnetic moment**: 1.88 μB per formula unit
**ρ**: 5.93 g/cm³
**Space group**: R-3m, No. 166

Structure (Quantum ESPRESSO input):
```
&SYSTEM
  ibrav = 0, nat = 12, ntyp = 3
/
ATOMIC_SPECIES
Sr 87.62 Sr.upf
Sc 44.96 Sc.upf
Re 186.21 Re.upf
CELL_PARAMETERS angstrom
3.397 0.000 0.000
-1.698 2.942 0.000
0.000 0.000 34.140
ATOMIC_POSITIONS angstrom
Sr 0.000 0.000 8.114
Sr 0.000 0.000 26.026
Sr 0.000 1.961 14.646
Sr 0.000 1.961 30.874
Sr 1.698 0.981 3.266
Sr 1.698 0.981 19.494
Sc 0.000 0.000 0.000
Sc 0.000 1.961 22.760
Sc 1.698 0.981 11.380
Re 0.000 0.000 17.070
Re 0.000 1.961 5.690
Re 1.698 0.981 28.450
```

***

3) ## Sr2ScRe (PBE)

Data for Sr2ScRe after structural relaxation. Values from VASP.

Properties
**Total magnetic moment**: 0.00 μB per formula unit
**ρ**: 6.32 g/cm³
**Space group**: I4/mmm, No. 139

Structure (Quantum ESPRESSO input):
```
&SYSTEM
  ibrav = 0, nat = 8, ntyp = 3
/
ATOMIC_SPECIES
Sr 87.62 Sr.upf
Sc 44.96 Sc.upf
Re 186.21 Re.upf
CELL_PARAMETERS angstrom
4.569 0.000 0.000
0.000 4.569 0.000
0.000 0.000 10.229
ATOMIC_POSITIONS angstrom
Sr 0.000 2.284 2.557
Sr 0.000 2.284 7.672
Sr 2.284 0.000 2.557
Sr 2.284 0.000 7.672
Sc 0.000 0.000 0.000
Sc 2.284 2.284 5.115
Re 0.000 0.000 5.115
Re 2.284 2.284 0.000
```

***

4) ## Sr2ScRe (PBE)

Data for Sr2ScRe after structural relaxation. Values from VASP.

Properties
**Total magnetic moment**: 0.00 μB per formula unit
**ρ**: 6.43 g/cm³
**Space group**: Cmmm, No. 65

Structure (Quantum ESPRESSO input):
```
&SYSTEM
  ibrav = 0, nat = 8, ntyp = 3
/
ATOMIC_SPECIES
Sr 87.62 Sr.upf
Sc 44.96 Sc.upf
Re 186.21 Re.upf
CELL_PARAMETERS angstrom
6.201 0.000 0.000
0.000 10.686 0.000
0.000 0.000 3.167
ATOMIC_POSITIONS angstrom
Sr 1.550 2.671 0.000
Sr 1.550 8.014 0.000
Sr 4.650 2.671 0.000
Sr 4.650 8.014 0.000
Sc 0.000 0.000 1.583
Sc 3.100 5.343 1.583
Re 0.000 5.343 1.583
Re 3.100 0.000 1.583
```

***

Stability check: which of them is most stable? 3).